First-principles (SCAN) data for InHg2Pb at its PBEsol-relaxed geometry, as listed in Alexandria via LeMat-Bulk.

Structure (POSCAR):
```
InHg2Pb
1.0
-1.268 -3.030 0.013
2.952 0.416 -1.378
4.679 -1.917 9.445
Pb Hg In
1 2 1
Direct
0.500 0.500 0.244
0.000 0.000 0.988
0.500 0.500 0.754
0.000 0.000 0.514
```

Properties
Energy of formation = 50 meV per atom
DOS at the Fermi energy = 1.5 states/eV per cell
Calculated density = 11738 kg/m³


First-principles (SCAN) data for In2HgPb at its PBEsol-relaxed geometry, as listed in Alexandria via LeMat-Bulk.

Structure (POSCAR):
```
In2HgPb
1.0
-3.280 1.652 -0.496
-2.451 -4.413 1.508
2.948 3.049 4.509
Pb Hg In
1 1 2
Direct
0.500 0.000 0.000
0.000 0.500 0.000
0.735 0.735 0.470
0.265 0.265 0.530
```

Properties
Energy of formation = 57 meV per atom
DOS at the Fermi energy = 1.6 states/eV per cell
Calculated density = 10255 kg/m³